1.
Material: PrUTc4
Method: DFT, PBE-GGA
State: optimized geometry

abc: 5.4166 5.4166 5.4166
angles: 60.00 60.00 60.00
Closest atoms and distances in Å follow each position.
Sites, in units of the cell vectors:
Pr 0.0000 0.0000 0.0000  12 Tc 3.18, 4 U 3.32
U 0.7500 0.7500 0.7500  12 Tc 3.18, 4 Pr 3.32
Tc 0.3749 0.3749 0.3749  6 Tc 2.71
Tc 0.3749 0.3749 0.8752  6 Tc 2.71
Tc 0.3749 0.8752 0.3749  6 Tc 2.71
Tc 0.8752 0.3749 0.3749  6 Tc 2.71

* SG: F-43m
* final energy: -9.4420 eV/atom
* volume: 18.729 Å³/atom
* density: 11.39 g/cm³
* crystal system: cubic

***

2.
Material: PrV2Tc
Method: DFT, PBE-GGA
State: optimized geometry

abc: 6.0046 6.0046 6.0046
angles: 40.86 40.86 40.86
Closest atoms and distances in Å follow each position.
Sites, in units of the cell vectors:
Pr 0.0000 0.0000 0.0000  8 V 3.26-3.29
V 0.1978 0.1978 0.1978  3 Tc 2.47, 3 V 2.63
V 0.8022 0.8022 0.8022  3 Tc 2.47, 3 V 2.63
Tc 0.5000 0.5000 0.5000  6 V 2.47

* SG: R-3m
* final energy: -8.1476 eV/atom
* volume: 20.906 Å³/atom
* density: 6.77 g/cm³
* crystal system: trigonal

***

3.
Material: PrTcW
Method: DFT, PBE-GGA
State: optimized geometry

abc: 5.0495 4.3888 6.4192
angles: 90.00 96.66 90.00
Closest atoms and distances in Å follow each position.
Sites, in units of the cell vectors:
Pr 0.2413 0.2500 0.3772  2 Tc 3.17, 4 W 3.18-3.33
Pr 0.7587 0.7500 0.6228  2 Tc 3.17, 4 W 3.18-3.33
Tc 0.3310 0.7500 0.0350  4 W 2.48-2.69
Tc 0.6690 0.2500 0.9650  4 W 2.48-2.69
W 0.1352 0.2500 0.8793  4 Tc 2.48-2.69
W 0.8648 0.7500 0.1207  4 Tc 2.48-2.69

* SG: P2_1/m
* final energy: -8.9928 eV/atom
* volume: 23.549 Å³/atom
* density: 9.94 g/cm³
* crystal system: monoclinic

***

Question: What is the volume in the second record?
Answer: 20.906 Å³/atom

***

Question: Among the records above, which one has the highest density?
Answer: PrUTc4

***

Question: What is the formula in the third record?
Answer: PrTcW

***

Question: Which value of volume does entry 2 give?
Answer: 20.906 Å³/atom